[1]
Entry from Alexandria: a relaxed structure of Na4La3BiO8 (GGA-PBE).

a b c (Å): 7.2797 7.2797 16.9563
angles (deg): 90.00 90.00 120.00
Space group R-3m (No. 166, hexagonal axes)
One atom of each set of equivalent atoms:
Na 0.0000 0.0000 0.0000
Na 0.0000 0.5000 0.0000
La 0.0000 0.5000 0.5000
Bi 0.0000 0.0000 0.5000
O 0.0000 0.0000 0.2381
O 0.0003 0.5001 0.2407

Crystal system: trigonal
N(E_F) (states/eV/f.u.): 0.000
Final energy (eV for the cell shown): -302.56
Raw formation energy (eV per atom): -2.33



[2]
Entry from Alexandria: a relaxed structure of Na2LaBiO4 (GGA-PBE).

a b c (Å): 6.0393 3.6169 6.2181
angles (deg): 90.00 109.80 90.00
Space group P2/m (No. 10)
One atom of each set of equivalent atoms:
Na 0.0000 0.0000 0.0000
Na 0.0000 0.5000 0.5000
La 0.5000 0.0000 0.5000
Bi 0.5000 0.5000 0.0000
O 0.2727 0.0000 0.7579
O 0.2800 0.5000 0.2604

Crystal system: monoclinic
N(E_F) (states/eV/f.u.): 0.000
Final energy (eV for the cell shown): -47.26
Raw formation energy (eV per atom): -2.00